# 1
Entry from Alexandria: a geometry-optimized Sm2CdPd2 structure (GGA-PBEsol).

- Space-group type: P4/mbm (127)
- M_tot: 0.00 μB/atom
- D(E_F): 0.6718 states/eV per atom
- Energy of formation: -0.747 eV/atom

Structure (POSCAR):
```
Sm2CdPd2
1.0
-2.286 -2.982 0.413
5.678 -4.646 -2.126
2.185 -0.664 7.289
Cd Sm Pd
2 4 4
Direct
0.000 0.000 0.000 Cd
0.000 0.500 0.500 Cd
0.500 0.173 0.327 Sm
0.500 0.327 0.827 Sm
0.500 0.827 0.673 Sm
0.500 0.673 0.173 Sm
0.000 0.128 0.628 Pd
0.000 0.872 0.372 Pd
0.000 0.372 0.128 Pd
0.000 0.628 0.872 Pd
```

# 2
Entry from Alexandria: a geometry-optimized CdSn3Pd structure (GGA-PBEsol).

- Space-group type: Pm-3m (221)
- M_tot: 0.00 μB/atom
- D(E_F): 0.3565 states/eV per atom
- Energy of formation: 0.106 eV/atom

Structure (POSCAR):
```
CdSn3Pd
1.0
-3.270 3.501 1.873
-0.607 -2.839 4.246
3.924 2.478 2.217
Pd Sn Cd
1 3 1
Direct
0.000 0.000 0.000 Pd
0.500 0.000 0.000 Sn
0.000 0.500 0.000 Sn
0.000 0.000 0.500 Sn
0.500 0.500 0.500 Cd
```

# 3
Entry from Alexandria: a geometry-optimized ZnCd2SnPd structure (GGA-PBEsol).

- Space-group type: P4/mmm (123)
- M_tot: 0.00 μB/atom
- D(E_F): 0.4550 states/eV per atom
- Energy of formation: 0.538 eV/atom

Structure (POSCAR):
```
ZnCd2SnPd
1.0
4.819 0.000 0.000
0.000 4.819 0.000
0.000 0.000 5.008
Sn Cd Zn Pd
1 2 1 1
Direct
0.000 0.000 0.500 Sn
0.500 0.000 0.000 Cd
0.000 0.500 0.000 Cd
0.000 0.000 0.000 Zn
0.500 0.500 0.500 Pd
```

# 4
Entry from Alexandria: a geometry-optimized Ta2TlCdPd structure (GGA-PBEsol).

- Space-group type: P4/mmm (123)
- M_tot: 0.00 μB/atom
- D(E_F): 0.7369 states/eV per atom
- Energy of formation: 1.244 eV/atom

Structure (POSCAR):
```
Ta2TlCdPd
1.0
-2.660 3.592 1.908
-4.044 -2.581 -0.778
0.448 -2.058 4.499
Pd Tl Ta Cd
1 1 2 1
Direct
0.000 0.000 0.000 Pd
0.000 0.000 0.500 Tl
0.000 0.500 0.000 Ta
0.500 0.000 0.000 Ta
0.500 0.500 0.500 Cd
```

# 5
Entry from Alexandria: a geometry-optimized Tb4CdPd structure (GGA-PBEsol).

- Space-group type: F-43m (216)
- M_tot: 0.00 μB/atom
- D(E_F): 0.7302 states/eV per atom
- Energy of formation: -0.448 eV/atom

Structure (POSCAR):
```
Tb4CdPd
1.0
-3.257 -7.171 5.388
-1.463 -8.597 -3.875
5.749 -7.282 2.235
Tb Pd Cd
16 4 4
Direct
0.896 0.896 0.311 Tb
0.685 0.315 0.685 Tb
0.896 0.311 0.896 Tb
0.440 0.440 0.060 Tb
0.315 0.685 0.685 Tb
0.060 0.440 0.440 Tb
0.685 0.685 0.315 Tb
0.060 0.440 0.060 Tb
0.311 0.896 0.896 Tb
0.896 0.896 0.896 Tb
0.440 0.060 0.060 Tb
0.315 0.315 0.685 Tb
0.315 0.685 0.315 Tb
0.440 0.060 0.440 Tb
0.060 0.060 0.440 Tb
0.685 0.315 0.315 Tb
0.105 0.684 0.105 Pd
0.105 0.105 0.684 Pd
0.105 0.105 0.105 Pd
0.684 0.105 0.105 Pd
0.669 0.669 0.669 Cd
0.669 0.994 0.669 Cd
0.994 0.669 0.669 Cd
0.669 0.669 0.994 Cd
```

# 6
Entry from Alexandria: a geometry-optimized TbCdPd structure (GGA-PBEsol).

- Space-group type: P-62m (189)
- M_tot: 0.00 μB/atom
- D(E_F): 0.7202 states/eV per atom
- Energy of formation: -0.697 eV/atom

Structure (POSCAR):
```
TbCdPd
1.0
-1.337 3.103 1.717
0.170 -3.601 6.642
6.037 3.897 -2.341
Pd Cd Tb
3 3 3
Direct
0.000 0.667 0.333 Pd
0.500 0.000 0.000 Pd
0.000 0.333 0.667 Pd
0.000 0.000 0.740 Cd
0.000 0.740 0.000 Cd
0.000 0.260 0.260 Cd
0.500 0.000 0.403 Tb
0.500 0.597 0.597 Tb
0.500 0.403 0.000 Tb
```

# 7
Entry from Alexandria: a geometry-optimized Cd3TcPd structure (GGA-PBEsol).

- Space-group type: Pm-3m (221)
- M_tot: 0.37 μB/atom
- D(E_F): 0.8251 states/eV per atom
- Energy of formation: 1.280 eV/atom

Structure (POSCAR):
```
Cd3TcPd
1.0
-2.591 -3.802 2.106
1.132 -2.958 -3.946
4.196 -1.549 2.365
Pd Cd Tc
1 3 1
Direct
0.500 0.500 0.500 Pd
0.000 0.500 0.000 Cd
0.000 0.000 0.500 Cd
0.500 0.000 0.000 Cd
0.000 0.000 0.000 Tc
```

# 8
Entry from Alexandria: a geometry-optimized YCdTe2Pd structure (GGA-PBEsol).

- Space-group type: P4/mmm (123)
- M_tot: 0.00 μB/atom
- D(E_F): 0.8078 states/eV per atom
- Uncorrected formation energy: 0.217 eV per atom

Structure (POSCAR):
```
YCdTe2Pd
1.0
5.048 0.000 0.000
0.000 5.729 0.000
0.000 0.000 5.729
Te Pd Cd Y
2 1 1 1
Direct
0.000 0.500 0.000 Te
0.000 0.000 0.500 Te
0.500 0.000 0.000 Pd
0.500 0.500 0.500 Cd
0.000 0.000 0.000 Y
```